Entry 1:
# CaIn2MoOs (SCAN, PBEsol geometry)
# Fermi-level density of states: 0.63 states/eV per atom
# Energy relative to the elements: 13.0 eV per formula unit
# Energy: -170.2 eV/f.u.
# Mass density: 8.08 g/cm³
data_CaIn2MoOs
_cell_length_a 5.122
_cell_length_b 5.122
_cell_length_c 4.352
_cell_angle_alpha 90.00
_cell_angle_beta 90.00
_cell_angle_gamma 90.00
_space_group_name_H-M_alt 'P 4/m m m'
_space_group_IT_number 123
_space_group_name_Hall '-P 4 2'
loop_
_atom_site_label
_atom_site_fract_x
_atom_site_fract_y
_atom_site_fract_z
Ca1 0.000 0.000 0.000
In1 0.000 0.500 0.000
Mo1 0.000 0.000 0.500
Os1 0.500 0.500 0.500

=====

Entry 2:
# Ca4In2N (SCAN, PBEsol geometry)
# Formation energy (no corrections): -0.811 eV per atom
# Fermi-level density of states: 0.32 states/eV per atom
# Energy: -120.4 eV/f.u.
# Mass density: 3.96 g/cm³
data_Ca4In2N
_cell_length_a 4.860
_cell_length_b 4.860
_cell_length_c 28.694
_cell_angle_alpha 90.00
_cell_angle_beta 90.00
_cell_angle_gamma 90.00
_space_group_name_H-M_alt 'I 41/a m d'
_space_group_IT_number 141
loop_
_space_group_symop_operation_xyz
'x,y,z'
'-x,-y,-z'
'-y+1/4,x+3/4,z+1/4'
'y+1/4,-x+3/4,-z+1/4'
'-x+1/2,-y,z+1/2'
'x+1/2,y,-z+1/2'
'y+1/4,-x+1/4,z+3/4'
'-y+1/4,x+1/4,-z+3/4'
'x,-y,-z'
'-x,y,z'
'-y+1/4,-x+1/4,-z+3/4'
'y+1/4,x+1/4,z+3/4'
'-x+1/2,y,-z+1/2'
'x+1/2,-y,z+1/2'
'y+1/4,x+3/4,-z+1/4'
'-y+1/4,-x+3/4,z+1/4'
'x+1/2,y+1/2,z+1/2'
'-x+1/2,-y+1/2,-z+1/2'
'-y+3/4,x+1/4,z+3/4'
'y+3/4,-x+1/4,-z+3/4'
'-x,-y+1/2,z'
'x,y+1/2,-z'
'y+3/4,-x+3/4,z+1/4'
'-y+3/4,x+3/4,-z+1/4'
'x+1/2,-y+1/2,-z+1/2'
'-x+1/2,y+1/2,z+1/2'
'-y+3/4,-x+3/4,-z+1/4'
'y+3/4,x+3/4,z+1/4'
'-x,y+1/2,-z'
'x,-y+1/2,z'
'y+3/4,x+1/4,-z+3/4'
'-y+3/4,-x+1/4,z+3/4'
loop_
_atom_site_label
_atom_site_fract_x
_atom_site_fract_y
_atom_site_fract_z
Ca1 0.000 0.250 0.124
Ca2 0.000 0.250 0.794
In1 0.000 0.250 0.285
N1 0.000 0.250 0.875

=====

Entry 3:
# CaInSe2N (SCAN, PBEsol geometry)
# Formation energy (no corrections): 0.284 eV per atom
# Fermi-level density of states: 0.59 states/eV per atom
# Energy: -91.1 eV/f.u.
# Mass density: 4.10 g/cm³
data_CaInSe2N
_cell_length_a 5.452
_cell_length_b 5.452
_cell_length_c 4.453
_cell_angle_alpha 90.00
_cell_angle_beta 90.00
_cell_angle_gamma 90.00
_space_group_name_H-M_alt 'P 4/m m m'
_space_group_IT_number 123
_space_group_name_Hall '-P 4 2'
loop_
_atom_site_label
_atom_site_fract_x
_atom_site_fract_y
_atom_site_fract_z
Ca1 0.000 0.000 0.000
In1 0.500 0.500 0.500
Se1 0.000 0.500 0.000
N1 0.000 0.000 0.500

=====

> Among the records above, which one has the lowest energy?

CaIn2MoOs

=====

> Which of these has the highest energy?

CaInSe2N